PrHo2Er: relaxed, PBE-GGA.

Cell lengths 8.0407, 8.0407, 8.0407 Å; angles 90.00, 90.00, 90.00 degrees
Space group Fm-3m (No. 225)
Inequivalent atoms, fractional coordinates:
Pr  0.0000  0.0000  0.0000
Ho  0.2500  0.2500  0.2500
Er  0.0000  0.0000  0.5000

Calculated values
For the total magnetization, the calculation gives 0.001 μB/cell. Its raw total energy is -4.4916 eV/atom.